Material: CuMo2PbO8
Method: DFT, PBE with a Hubbard U
State: relaxed

```
12
Lattice="5.8217 0.0000 0.0000 -2.9108 5.0417 0.0000 0.0000 0.0000 6.7240" Properties=species:S:1:pos:R:3 pbc="T T T"
Cu 0.0000 0.0000 0.0000
Mo 0.0000 3.3612 1.7964
Mo 2.9108 1.6806 4.9276
Pb 0.0000 0.0000 3.3620
O 0.0000 1.6191 1.2901
O -1.5087 4.2322 1.2901
O 1.4022 0.8095 5.4339
O 0.0000 3.3612 3.5562
O 2.9108 1.6806 3.1678
O 1.5087 4.2322 1.2901
O 4.4195 0.8095 5.4339
O 2.9108 3.4226 5.4339
```

Values from the calculation:
Fermi-level density of states ... 6.379 states/eV/cell
Final energy ... -6.445 eV per atom